Material: In7Te10
Method: DFT, GGA-PBEsol
State: relaxed

For the raw total energy, the calculation gives -3.566 eV per atom. For the volume, the calculation gives 1190.7 Å³/cell. As for the uncorrected formation energy: -0.263 eV per atom. For the magnetic moment, the calculation gives 0.0 μB per formula unit.

abc: 10.603 10.603 10.603
angles: 88.52 88.52 88.52
Positions (direct):
In  0.073  0.073  0.073
In  0.076  0.381  0.355
In  0.171  0.749  0.326
In  0.251  0.829  0.674
In  0.326  0.171  0.749
In  0.355  0.076  0.381
In  0.381  0.355  0.076
In  0.619  0.924  0.645
In  0.645  0.619  0.924
In  0.674  0.251  0.829
In  0.749  0.326  0.171
In  0.829  0.674  0.251
In  0.924  0.645  0.619
In  0.927  0.927  0.927
Te  0.000  0.396  0.604
Te  0.064  0.716  0.830
Te  0.067  0.571  0.163
Te  0.163  0.067  0.571
Te  0.170  0.284  0.936
Te  0.284  0.936  0.170
Te  0.341  0.341  0.341
Te  0.341  0.659  0.500
Te  0.396  0.604  0.000
Te  0.429  0.933  0.837
Te  0.500  0.341  0.659
Te  0.571  0.163  0.067
Te  0.604  0.000  0.396
Te  0.659  0.500  0.341
Te  0.659  0.659  0.659
Te  0.716  0.830  0.064
Te  0.830  0.064  0.716
Te  0.837  0.429  0.933
Te  0.933  0.837  0.429
Te  0.936  0.170  0.284

Material: GeHRh3
Method: DFT, GGA-PBEsol
State: relaxed

For the raw total energy, the calculation gives -6.821 eV per atom. For the volume, the calculation gives 56.8 Å³/cell. For the magnetic moment, the calculation gives 0.0 μB per formula unit.

abc: 3.843 3.843 3.843
angles: 90.00 90.00 90.00
Positions (direct):
Ge  0.000  0.000  0.000
H  0.500  0.500  0.500
Rh  0.000  0.500  0.500
Rh  0.500  0.000  0.500
Rh  0.500  0.500  0.000

Material: TeMoRh
Method: DFT, GGA-PBEsol
State: relaxed

For the raw total energy, the calculation gives -7.580 eV per atom. For the volume, the calculation gives 57.7 Å³/cell. As for the uncorrected formation energy: 0.231 eV per atom. For the magnetic moment, the calculation gives 0.0 μB per formula unit.

abc: 4.338 4.338 4.338
angles: 60.00 60.00 60.00
Positions (direct):
Te  0.000  0.000  0.000
Mo  0.750  0.750  0.750
Rh  0.500  0.500  0.500

Material: K3Mn2O8
Method: DFT, GGA-PBEsol
State: relaxed

For the raw total energy, the calculation gives -6.618 eV per atom. For the volume, the calculation gives 198.9 Å³/cell. As for the uncorrected formation energy: -1.624 eV per atom. For the magnetic moment, the calculation gives 1.0 μB per formula unit.

abc: 7.776 7.776 7.776
angles: 43.09 43.09 43.09
Positions (direct):
K  0.000  0.000  0.000
K  0.204  0.204  0.204
K  0.796  0.796  0.796
Mn  0.408  0.408  0.408
Mn  0.592  0.592  0.592
O  0.257  0.721  0.721
O  0.279  0.279  0.743
O  0.279  0.743  0.279
O  0.331  0.331  0.331
O  0.669  0.669  0.669
O  0.721  0.257  0.721
O  0.721  0.721  0.257
O  0.743  0.279  0.279

Material: LiRh5
Method: DFT, GGA-PBEsol
State: relaxed

The calculation puts the formation energy at 0.1 eV per formula unit. For the raw total energy, the calculation gives -7.092 eV per atom. For the volume, the calculation gives 79.3 Å³/cell. The energy above the most stable polymorph in this dataset is 0.028 eV/atom. For the magnetic moment, the calculation gives 0.0 μB per formula unit.

abc: 4.260 7.075 7.075
angles: 21.82 90.00 90.00
Positions (direct):
Li  0.000  0.000  0.000
Rh  0.000  0.336  0.336
Rh  0.000  0.666  0.666
Rh  0.500  0.108  0.108
Rh  0.500  0.448  0.448
Rh  0.500  0.781  0.781

Material: CsTeF5
Method: DFT, GGA-PBEsol
State: relaxed

For the raw total energy, the calculation gives -4.479 eV per atom. For the volume, the calculation gives 547.1 Å³/cell. As for the uncorrected formation energy: -2.464 eV per atom. For the magnetic moment, the calculation gives 0.0 μB per formula unit.

abc: 10.375 6.421 8.211
angles: 90.00 90.00 90.00
Positions (direct):
Cs  0.168  0.250  0.130
Cs  0.332  0.750  0.630
Cs  0.668  0.250  0.370
Cs  0.832  0.750  0.870
Te  0.067  0.250  0.634
Te  0.433  0.750  0.134
Te  0.567  0.250  0.866
Te  0.933  0.750  0.366
F  0.068  0.032  0.807
F  0.068  0.468  0.807
F  0.131  0.036  0.474
F  0.131  0.464  0.474
F  0.246  0.250  0.687
F  0.254  0.750  0.187
F  0.369  0.536  0.974
F  0.369  0.964  0.974
F  0.432  0.532  0.307
F  0.432  0.968  0.307
F  0.568  0.032  0.693
F  0.568  0.468  0.693
F  0.631  0.036  0.026
F  0.631  0.464  0.026
F  0.746  0.250  0.813
F  0.754  0.750  0.313
F  0.869  0.536  0.526
F  0.869  0.964  0.526
F  0.932  0.532  0.193
F  0.932  0.968  0.193

Material: KZrSc2
Method: DFT, GGA-PBEsol
State: relaxed

The calculation puts the formation energy at 2.7 eV per formula unit. For the raw total energy, the calculation gives -5.174 eV per atom. For the volume, the calculation gives 110.4 Å³/cell. For the magnetic moment, the calculation gives 0.0 μB per formula unit.

abc: 6.610 6.610 6.610
angles: 151.93 124.93 62.94
Positions (direct):
K  0.000  0.000  0.000
Zr  0.500  0.500  0.000
Sc  0.277  0.777  0.500
Sc  0.723  0.223  0.500

Material: In3FeSi
Method: DFT, GGA-PBEsol
State: relaxed

For the raw total energy, the calculation gives -3.699 eV per atom. For the volume, the calculation gives 130.4 Å³/cell. As for the uncorrected formation energy: 1.033 eV per atom. For the magnetic moment, the calculation gives 3.1 μB per formula unit.

abc: 5.071 5.071 5.071
angles: 90.00 90.00 90.00
Positions (direct):
In  0.000  0.000  0.500
In  0.000  0.500  0.000
In  0.500  0.000  0.000
Fe  0.500  0.500  0.500
Si  0.000  0.000  0.000

Material: Na6Ni2AsC4O16
Method: DFT, GGA-PBEsol
State: relaxed

For the raw total energy, the calculation gives -6.547 eV per atom. For the volume, the calculation gives 654.2 Å³/cell. As for the uncorrected formation energy: -1.430 eV per atom. For the magnetic moment, the calculation gives 2.7 μB per formula unit.

abc: 9.744 9.744 9.744
angles: 60.00 60.00 60.00
Positions (direct):
Na  0.087  0.087  0.663
Na  0.087  0.663  0.087
Na  0.087  0.663  0.663
Na  0.337  0.337  0.913
Na  0.337  0.913  0.337
Na  0.337  0.913  0.913
Na  0.663  0.087  0.087
Na  0.663  0.087  0.663
Na  0.663  0.663  0.087
Na  0.913  0.337  0.337
Na  0.913  0.337  0.913
Na  0.913  0.913  0.337
Ni  0.000  0.500  0.500
Ni  0.500  0.000  0.500
Ni  0.500  0.500  0.000
Ni  0.500  0.500  0.500
As  0.125  0.125  0.125
As  0.875  0.875  0.875
C  0.287  0.287  0.287
C  0.287  0.287  0.639
C  0.287  0.639  0.287
C  0.361  0.713  0.713
C  0.639  0.287  0.287
C  0.713  0.361  0.713
C  0.713  0.713  0.361
C  0.713  0.713  0.713
O  0.053  0.053  0.053
O  0.053  0.053  0.340
O  0.053  0.340  0.053
O  0.142  0.310  0.643
O  0.142  0.405  0.310
O  0.142  0.643  0.405
O  0.310  0.142  0.405
O  0.310  0.405  0.643
O  0.310  0.643  0.142
O  0.340  0.053  0.053
O  0.357  0.595  0.858
O  0.357  0.690  0.595
O  0.357  0.858  0.690
O  0.405  0.142  0.643
O  0.405  0.310  0.142
O  0.405  0.643  0.310
O  0.595  0.357  0.690
O  0.595  0.690  0.858
O  0.595  0.858  0.357
O  0.643  0.142  0.310
O  0.643  0.310  0.405
O  0.643  0.405  0.142
O  0.660  0.947  0.947
O  0.690  0.357  0.858
O  0.690  0.595  0.357
O  0.690  0.858  0.595
O  0.858  0.357  0.595
O  0.858  0.595  0.690
O  0.858  0.690  0.357
O  0.947  0.660  0.947
O  0.947  0.947  0.660
O  0.947  0.947  0.947

Material: Ag3SnF
Method: DFT, GGA-PBEsol
State: relaxed

For the raw total energy, the calculation gives -2.698 eV per atom. For the volume, the calculation gives 135.8 Å³/cell. As for the uncorrected formation energy: 0.526 eV per atom. For the magnetic moment, the calculation gives 0.5 μB per formula unit.

abc: 5.140 5.140 5.140
angles: 90.00 90.00 90.00
Positions (direct):
Ag  0.000  0.000  0.500
Ag  0.000  0.500  0.000
Ag  0.500  0.000  0.000
Sn  0.000  0.000  0.000
F  0.500  0.500  0.500

Material: InP2Br
Method: DFT, GGA-PBEsol
State: relaxed

For the raw total energy, the calculation gives -3.985 eV per atom. For the volume, the calculation gives 99.6 Å³/cell. As for the uncorrected formation energy: 0.124 eV per atom. For the magnetic moment, the calculation gives 0.0 μB per formula unit.

abc: 3.769 3.769 8.777
angles: 90.00 90.00 126.93
Positions (direct):
In  0.000  0.000  0.000
P  0.000  0.000  0.421
P  0.500  0.500  0.268
Br  0.500  0.500  0.757

Material: LiMn2Pt
Method: DFT, GGA-PBEsol
State: relaxed

The calculation puts the formation energy at 0.0 eV per formula unit. For the raw total energy, the calculation gives -7.118 eV per atom. For the volume, the calculation gives 51.0 Å³/cell. For the magnetic moment, the calculation gives 0.3 μB per formula unit.

abc: 3.081 3.081 5.370
angles: 90.00 90.00 90.00
Positions (direct):
Li  0.000  0.000  0.000
Mn  0.000  0.000  0.491
Mn  0.500  0.500  0.269
Pt  0.500  0.500  0.772

Material: TiBeS2
Method: DFT, GGA-PBEsol
State: relaxed

For the raw total energy, the calculation gives -6.160 eV per atom. For the volume, the calculation gives 135.4 Å³/cell. As for the uncorrected formation energy: -0.888 eV per atom. For the magnetic moment, the calculation gives 1.8 μB per formula unit.

abc: 5.999 5.999 5.999
angles: 126.33 126.33 79.34
Positions (direct):
Ti  0.000  0.000  0.000
Ti  0.750  0.250  0.500
Be  0.250  0.750  0.500
Be  0.500  0.500  0.000
S  0.174  0.125  0.549
S  0.375  0.826  0.951
S  0.576  0.625  0.451
S  0.875  0.424  0.049

Material: LiLuRh2
Method: DFT, GGA-PBEsol
State: relaxed

The calculation puts the formation energy at -2.2 eV per formula unit. For the raw total energy, the calculation gives -6.317 eV per atom. For the volume, the calculation gives 60.2 Å³/cell. For the magnetic moment, the calculation gives 0.0 μB per formula unit.

abc: 4.400 4.400 4.400
angles: 60.00 60.00 60.00
Positions (direct):
Li  0.000  0.000  0.000
Lu  0.500  0.500  0.500
Rh  0.250  0.250  0.250
Rh  0.750  0.750  0.750

Material: CdTeAs2
Method: DFT, GGA-PBEsol
State: relaxed

For the raw total energy, the calculation gives -3.392 eV per atom. For the volume, the calculation gives 85.4 Å³/cell. As for the uncorrected formation energy: 0.342 eV per atom. For the magnetic moment, the calculation gives 0.0 μB per formula unit.

abc: 4.943 4.943 4.943
angles: 60.00 60.00 60.00
Positions (direct):
Cd  0.000  0.000  0.000
Te  0.500  0.500  0.500
As  0.250  0.250  0.250
As  0.750  0.750  0.750

Material: YCo3Ge
Method: DFT, GGA-PBEsol
State: relaxed

The calculation puts the formation energy at 1.0 eV per formula unit. For the raw total energy, the calculation gives -6.794 eV per atom. For the volume, the calculation gives 78.6 Å³/cell. The energy above the most stable polymorph in this dataset is 0.000 eV/atom. For the magnetic moment, the calculation gives 0.0 μB per formula unit.

abc: 4.284 4.284 4.284
angles: 90.00 90.00 90.00
Positions (direct):
Y  0.000  0.000  0.000
Co  0.000  0.500  0.500
Co  0.500  0.000  0.500
Co  0.500  0.500  0.000
Ge  0.500  0.500  0.500

Material: TaMn3Rh
Method: DFT, GGA-PBEsol
State: relaxed

The calculation puts the formation energy at 8.5 eV per formula unit. For the raw total energy, the calculation gives -8.291 eV per atom. For the volume, the calculation gives 90.2 Å³/cell. The energy above the most stable polymorph in this dataset is 0.213 eV/atom. For the magnetic moment, the calculation gives 8.9 μB per formula unit.

abc: 4.485 4.485 4.485
angles: 90.00 90.00 90.00
Positions (direct):
Ta  0.000  0.000  0.000
Mn  0.000  0.000  0.500
Mn  0.000  0.500  0.000
Mn  0.500  0.000  0.000
Rh  0.500  0.500  0.500

Material: LaAl2Pb
Method: DFT, GGA-PBEsol
State: relaxed

The calculation puts the formation energy at -0.1 eV per formula unit. For the raw total energy, the calculation gives -4.398 eV per atom. For the volume, the calculation gives 212.1 Å³/cell. For the magnetic moment, the calculation gives 0.0 μB per formula unit.

abc: 6.598 6.598 6.598
angles: 103.27 103.27 122.74
Positions (direct):
La  0.000  0.000  0.000
La  0.750  0.250  0.500
Al  0.159  0.625  0.034
Al  0.375  0.409  0.534
Al  0.591  0.125  0.966
Al  0.875  0.841  0.466
Pb  0.250  0.750  0.500
Pb  0.500  0.500  0.000

Material: Ag2PtI
Method: DFT, GGA-PBEsol
State: relaxed

For the raw total energy, the calculation gives -3.365 eV per atom. For the volume, the calculation gives 76.9 Å³/cell. As for the uncorrected formation energy: 0.473 eV per atom. For the magnetic moment, the calculation gives 0.0 μB per formula unit.

abc: 4.773 4.773 4.773
angles: 60.00 60.00 60.00
Positions (direct):
Ag  0.250  0.250  0.250
Ag  0.750  0.750  0.750
Pt  0.000  0.000  0.000
I  0.500  0.500  0.500

Material: ZnCoHg2Se
Method: DFT, GGA-PBEsol
State: relaxed

For the raw total energy, the calculation gives -2.198 eV per atom. For the volume, the calculation gives 124.0 Å³/cell. As for the uncorrected formation energy: 0.663 eV per atom. For the magnetic moment, the calculation gives 1.1 μB per formula unit.

abc: 5.401 5.401 4.250
angles: 90.00 90.00 90.00
Positions (direct):
Zn  0.000  0.000  0.000
Co  0.500  0.500  0.000
Hg  0.000  0.500  0.500
Hg  0.500  0.000  0.500
Se  0.500  0.500  0.500